First-principles (PBE) data for KTlGa2Rh after structural relaxation, as listed in Alexandria via LeMat-Bulk.

Lattice parameters (Å, degrees): 4.901 4.901 5.364 90.00 90.00 90.00
Element x y z (fractional)
Rh 0.000 0.000 0.000
Ga 0.000 0.500 0.000
Ga 0.500 0.000 0.000
K 0.500 0.500 0.500
Tl 0.000 0.000 0.500

Calculated values
The formation energy is -18 kJ/mol of atoms. As for the space group: No. 123.